VASP calculation (PBE) on an optimized crystal structure of HoAlIr.

The space group is Cmcm (No. 63) and the conventional cell measures 4.185, 12.860 and 4.431 Å, with angles of 90.00, 90.00 and 90.00 degrees. The asymmetric unit holds Ho at (0.000, 0.096, 0.250), Al at (0.000, 0.362, 0.250) and Ir at (0.000, 0.249, 0.750).

For the total magnetic moment, the calculation gives 0.002 μB per formula unit. As for the energy: -0.476 Ry per atom.